Entry 1:
# SrReAs3 | Alexandria | GGA-PBE | optimized geometry
data_SrReAs3
_chemical_formula_sum 'Sr1 Re1 As3'
_cell_length_a 4.941
_cell_length_b 4.941
_cell_length_c 4.941
_cell_angle_alpha 90.00
_cell_angle_beta 90.00
_cell_angle_gamma 90.00
_symmetry_space_group_name_H-M 'P m -3 m'
_symmetry_Int_Tables_number 221
_symmetry_space_group_name_Hall '-P 4 2 3'
loop_
_atom_site_label
_atom_site_type_symbol
_atom_site_fract_x
_atom_site_fract_y
_atom_site_fract_z
Sr1 Sr 0.000 0.000 0.000
Re1 Re 0.500 0.500 0.500
As1 As 0.000 0.500 0.500
# Energy relative to the elements, eV/atom: -0.009
# Energy above the most stable polymorph in this dataset, meV/atom: 0
# Crystal system: cubic
# E_tot, eV per atom: -5.62

***

Entry 2:
# SrReAs3 | Alexandria | GGA-PBE | optimized geometry
data_SrReAs3
_chemical_formula_sum 'Sr1 Re1 As3'
_cell_length_a 5.263
_cell_length_b 5.263
_cell_length_c 5.263
_cell_angle_alpha 90.00
_cell_angle_beta 90.00
_cell_angle_gamma 90.00
_symmetry_space_group_name_H-M 'P m -3 m'
_symmetry_Int_Tables_number 221
_symmetry_space_group_name_Hall '-P 4 2 3'
loop_
_atom_site_label
_atom_site_type_symbol
_atom_site_fract_x
_atom_site_fract_y
_atom_site_fract_z
Sr1 Sr 0.000 0.000 0.000
Re1 Re 0.500 0.500 0.500
As1 As 0.000 0.000 0.500
# Energy relative to the elements, eV/atom: 2.339
# Energy above the most stable polymorph in this dataset, meV/atom: 2348
# Crystal system: cubic
# E_tot, eV per atom: -3.28

***

Entry 3:
# Sr4ReAs | Alexandria | GGA-PBE | optimized geometry
data_Sr4ReAs
_chemical_formula_sum 'Sr16 Re4 As4'
_cell_length_a 9.279
_cell_length_b 9.279
_cell_length_c 9.279
_cell_angle_alpha 90.00
_cell_angle_beta 90.00
_cell_angle_gamma 90.00
_symmetry_space_group_name_H-M 'F -4 3 m'
_symmetry_Int_Tables_number 216
_symmetry_space_group_name_Hall 'F -4 2 3'
loop_
_atom_site_label
_atom_site_type_symbol
_atom_site_fract_x
_atom_site_fract_y
_atom_site_fract_z
Sr1 Sr 0.124 0.124 0.376
Re1 Re 0.250 0.250 0.750
As1 As 0.000 0.000 0.000
# Energy relative to the elements, eV/atom: 1.161
# Crystal system: cubic
# E_tot, eV per atom: -2.81

***

Entry 4:
# Sr3ReAs | Alexandria | GGA-PBE | optimized geometry
data_Sr3ReAs
_chemical_formula_sum 'Sr3 Re1 As1'
_cell_length_a 5.878
_cell_length_b 5.878
_cell_length_c 5.878
_cell_angle_alpha 90.00
_cell_angle_beta 90.00
_cell_angle_gamma 90.00
_symmetry_space_group_name_H-M 'P m -3 m'
_symmetry_Int_Tables_number 221
_symmetry_space_group_name_Hall '-P 4 2 3'
loop_
_atom_site_label
_atom_site_type_symbol
_atom_site_fract_x
_atom_site_fract_y
_atom_site_fract_z
Sr1 Sr 0.000 0.000 0.500
Re1 Re 0.500 0.500 0.500
As1 As 0.000 0.000 0.000
# Energy relative to the elements, eV/atom: 0.608
# Energy above the most stable polymorph in this dataset, meV/atom: 0
# Crystal system: cubic
# E_tot, eV per atom: -3.82

***

Entry 5:
# SrRe4As | Alexandria | GGA-PBE | optimized geometry
data_SrRe4As
_chemical_formula_sum 'Sr4 Re16 As4'
_cell_length_a 7.631
_cell_length_b 7.631
_cell_length_c 7.631
_cell_angle_alpha 90.00
_cell_angle_beta 90.00
_cell_angle_gamma 90.00
_symmetry_space_group_name_H-M 'F -4 3 m'
_symmetry_Int_Tables_number 216
_symmetry_space_group_name_Hall 'F -4 2 3'
loop_
_atom_site_label
_atom_site_type_symbol
_atom_site_fract_x
_atom_site_fract_y
_atom_site_fract_z
Sr1 Sr 0.000 0.000 0.000
Re1 Re 0.124 0.124 0.376
As1 As 0.250 0.250 0.750
# Energy relative to the elements, eV/atom: 0.693
# Crystal system: cubic
# E_tot, eV per atom: -8.66

***

Entry 6:
# SrReAs4 | Alexandria | GGA-PBE | optimized geometry
data_SrReAs4
_chemical_formula_sum 'Sr4 Re4 As16'
_cell_length_a 7.990
_cell_length_b 7.990
_cell_length_c 7.990
_cell_angle_alpha 90.00
_cell_angle_beta 90.00
_cell_angle_gamma 90.00
_symmetry_space_group_name_H-M 'F -4 3 m'
_symmetry_Int_Tables_number 216
_symmetry_space_group_name_Hall 'F -4 2 3'
loop_
_atom_site_label
_atom_site_type_symbol
_atom_site_fract_x
_atom_site_fract_y
_atom_site_fract_z
Sr1 Sr 0.000 0.000 0.000
Re1 Re 0.250 0.250 0.250
As1 As 0.123 0.123 0.623
# Energy relative to the elements, eV/atom: 0.610
# Crystal system: cubic
# E_tot, eV per atom: -4.84